# 1
Entry from Alexandria: Cs12Zn3H5 after structural relaxation (PBE).

CIF file:
```
data_Cs12Zn3H5
_chemical_formula_sum 'Cs96 Zn24 H40'
_symmetry_space_group_name_H-M 'I a -3 d'
_symmetry_Int_Tables_number 230
_symmetry_space_group_name_Hall '-I 4bd 2c 3'
_cell_length_a 20.2590
_cell_length_b 20.2590
_cell_length_c 20.2590
_cell_angle_alpha 90.00
_cell_angle_beta 90.00
_cell_angle_gamma 90.00
loop_
_atom_site_label
_atom_site_fract_x
_atom_site_fract_y
_atom_site_fract_z
_atom_site_occupancy
Cs1 0.0314 0.0492 0.6500 1
Zn1 0.0000 0.2500 0.1250 1
H1 0.0000 0.0000 0.0000 1
H2 0.0000 0.2500 0.3750 1
```

Values from the calculation:
Electronic total energy   -1.487 eV/atom
Total magnetic moment   1.09 μB per formula unit

# 2
Entry from Alexandria: Cs4ZnH6 after structural relaxation (PBE).

CIF file:
```
data_Cs4ZnH6
_chemical_formula_sum 'Cs16 Zn4 H24'
_symmetry_space_group_name_H-M 'C 1 c 1'
_symmetry_Int_Tables_number 9
_symmetry_space_group_name_Hall 'C -2yc'
_cell_length_a 12.9676
_cell_length_b 6.2085
_cell_length_c 15.3421
_cell_angle_alpha 90.00
_cell_angle_beta 104.61
_cell_angle_gamma 90.00
loop_
_atom_site_label
_atom_site_fract_x
_atom_site_fract_y
_atom_site_fract_z
_atom_site_occupancy
Cs1 0.0000 0.2493 0.0000 1
Cs2 0.1429 0.2497 0.3543 1
Cs3 0.3180 0.2501 0.8005 1
Cs4 0.3246 0.2503 0.1143 1
Zn1 0.1219 0.2506 0.6033 1
H1 0.0215 0.2508 0.5086 1
H2 0.1139 0.0304 0.6638 1
H3 0.1156 0.4727 0.6632 1
H4 0.1873 0.2508 0.9227 1
H5 0.2422 0.2483 0.5790 1
H6 0.3535 0.2498 0.3167 1
```

Values from the calculation:
Electronic total energy   -2.441 eV/atom
Total magnetic moment   0.00 μB per formula unit